Version a
! CrTcC3 | the Alexandria database | PBE | relaxed; values from VASP
! - Calculated volume: 10.4 Å³ per atom
! - SG: Pm-3m
&SYSTEM
  ibrav = 0, nat = 5, ntyp = 3
/
ATOMIC_SPECIES
Cr 52.00 Cr.upf
C 12.01 C.upf
Tc 98.00 Tc.upf
ATOMIC_POSITIONS crystal
Cr 0.000 0.000 0.000
C 0.000 0.500 0.000
C 0.000 0.000 0.500
C 0.500 0.000 0.000
Tc 0.500 0.500 0.500
CELL_PARAMETERS angstrom
3.734 0.000 0.000
0.000 3.734 0.000
0.000 0.000 3.734

Version b
! CrTcC3 | the Alexandria database | PBE | relaxed; values from VASP
! - Calculated volume: 12.3 Å³ per atom
! - SG: Pm-3m
&SYSTEM
  ibrav = 0, nat = 5, ntyp = 3
/
ATOMIC_SPECIES
Cr 52.00 Cr.upf
C 12.01 C.upf
Tc 98.00 Tc.upf
ATOMIC_POSITIONS crystal
Cr 0.500 0.500 0.500
C 0.000 0.500 0.000
C 0.000 0.000 0.500
C 0.500 0.000 0.000
Tc 0.000 0.000 0.000
CELL_PARAMETERS angstrom
3.947 0.000 0.000
0.000 3.947 0.000
0.000 0.000 3.947

Energy above the most stable structure, in meV per atom: version a 0; version b 232